Record 1
Material: Hf3VH
Method: DFT, PBE
State: optimized geometry

Properties
The value obtained for the total moment is 0.533 μB per atom. As for the total energy: -0.617 Ry/atom. The theoretical density comes out at 11580 kg/m3.

Cell: 4.3835 4.3835 4.3835 Å, 90.00 90.00 90.00°
Element x y z (fractional)
Hf1 0.0000 0.0000 0.5000
Hf2 0.0000 0.5000 0.0000
Hf3 0.5000 0.0000 0.0000
V1 0.5000 0.5000 0.5000
H1 0.0000 0.0000 0.0000



Record 2
Material: Sc2S3
Method: DFT, PBE
State: optimized geometry

Properties
For the uncorrected formation energy, the calculation gives -1.825 eV/atom. The value obtained for the total moment is 0.000 μB per atom. As for the total energy: -0.502 Ry/atom. The theoretical density comes out at 3092 kg/m3.

Cell: 6.7525 9.5570 6.1943 Å, 90.00 90.00 90.00°
Element x y z (fractional)
Sc1 0.0000 0.0000 0.0000
Sc2 0.0000 0.5000 0.0000
Sc3 0.1043 0.2500 0.4530
Sc4 0.3957 0.7500 0.9530
Sc5 0.5000 0.0000 0.5000
Sc6 0.5000 0.5000 0.5000
Sc7 0.6043 0.2500 0.0470
Sc8 0.8957 0.7500 0.5470
S1 0.0612 0.7500 0.1618
S2 0.1815 0.5843 0.6740
S3 0.1815 0.9157 0.6740
S4 0.3185 0.0843 0.1740
S5 0.3185 0.4157 0.1740
S6 0.4388 0.2500 0.6618
S7 0.5612 0.7500 0.3382
S8 0.6815 0.5843 0.8260
S9 0.6815 0.9157 0.8260
S10 0.8185 0.0843 0.3260
S11 0.8185 0.4157 0.3260
S12 0.9388 0.2500 0.8382



Record 3
Material: AlCrCl2
Method: DFT, PBE
State: optimized geometry

Properties
For the uncorrected formation energy, the calculation gives -0.286 eV/atom. The value obtained for the total moment is 1.057 μB per atom. As for the total energy: -0.334 Ry/atom. The theoretical density comes out at 2267 kg/m3.

Cell: 3.1836 7.3720 9.3575 Å, 90.00 90.00 90.00°
Element x y z (fractional)
Al1 0.0000 0.0000 0.0000
Al2 0.5000 0.5000 0.5000
Cr1 0.0000 0.5000 0.7279
Cr2 0.5000 0.0000 0.2279
Cl1 0.0000 0.0000 0.4208
Cl2 0.0000 0.5000 0.3122
Cl3 0.5000 0.0000 0.8122
Cl4 0.5000 0.5000 0.9208



Record 4
Material: CdGa2Si
Method: DFT, PBE
State: optimized geometry

Properties
For the uncorrected formation energy, the calculation gives 0.284 eV/atom. The value obtained for the total moment is 0.000 μB per atom. As for the total energy: -0.207 Ry/atom. The theoretical density comes out at 5930 kg/m3.

Cell: 6.7939 6.7939 6.7939 Å, 90.00 90.00 90.00°
Element x y z (fractional)
Cd1 0.0000 0.0000 0.0000
Cd2 0.0000 0.5000 0.5000
Cd3 0.5000 0.0000 0.5000
Cd4 0.5000 0.5000 0.0000
Ga1 0.2500 0.2500 0.2500
Ga2 0.2500 0.2500 0.7500
Ga3 0.2500 0.7500 0.2500
Ga4 0.2500 0.7500 0.7500
Ga5 0.7500 0.2500 0.2500
Ga6 0.7500 0.2500 0.7500
Ga7 0.7500 0.7500 0.2500
Ga8 0.7500 0.7500 0.7500
Si1 0.0000 0.0000 0.5000
Si2 0.0000 0.5000 0.0000
Si3 0.5000 0.0000 0.0000
Si4 0.5000 0.5000 0.5000



Record 5
Material: La2BeTc2
Method: DFT, PBE
State: optimized geometry

Properties
The value obtained for the total moment is 0.092 μB per atom. As for the total energy: -0.488 Ry/atom. The theoretical density comes out at 7572 kg/m3.

Cell: 6.6726 6.6726 4.7565 Å, 90.00 90.00 90.00°
Element x y z (fractional)
La1 0.1859 0.3141 0.0000
La2 0.3141 0.8141 0.0000
La3 0.6859 0.1859 0.0000
La4 0.8141 0.6859 0.0000
Be1 0.0000 0.0000 0.5000
Be2 0.5000 0.5000 0.5000
Tc1 0.1253 0.6253 0.5000
Tc2 0.3747 0.1253 0.5000
Tc3 0.6253 0.8747 0.5000
Tc4 0.8747 0.3747 0.5000



Record 6
Material: PmHo3B
Method: DFT, PBE
State: optimized geometry

Properties
The value obtained for the total moment is 0.000 μB per atom. As for the total energy: -0.366 Ry/atom. The theoretical density comes out at 7902 kg/m3.

Cell: 5.1517 5.1517 5.1517 Å, 90.00 90.00 90.00°
Element x y z (fractional)
Pm1 0.0000 0.0000 0.0000
Ho1 0.0000 0.5000 0.5000
Ho2 0.5000 0.0000 0.5000
Ho3 0.5000 0.5000 0.0000
B1 0.5000 0.5000 0.5000



Which value of total moment does entry 5 give? 0.092 μB per atom